BaCuMo2O8 | GGA+U | optimized geometry

Unit cell a=5.2530 b=5.2530 c=8.1271 alpha=71.14 beta=71.14 gamma=60.00
Closest atoms and distances in Å follow each position.
Fractional positions:
Ba 0.5000 0.5000 0.5000  12 O 3.05-3.13
Cu 0.0000 0.0000 0.0000  6 O 2.09
Mo 0.2610 0.2610 0.2169  4 O 1.79-1.81
Mo 0.7390 0.7390 0.7831  4 O 1.79-1.81
O 0.1817 0.1817 0.4550  1 Mo 1.79
O 0.6194 0.2687 0.1599  1 Mo 1.81
O 0.8183 0.8183 0.5450  1 Mo 1.79
O 0.9521 0.6194 0.1599  1 Mo 1.81
O 0.0479 0.3806 0.8401  1 Mo 1.81
O 0.2687 0.9521 0.1599  1 Mo 1.81
O 0.7313 0.0479 0.8401  1 Mo 1.81
O 0.3806 0.7313 0.8401  1 Mo 1.81

Properties
**Total moment**: 1.0 μB/cell
**E_tot**: -79.456 eV/cell